DFT (PBE with a Hubbard U) results for a relaxed NaNdCoF6 crystal.

a = 5.823 Å, b = 5.823 Å, c = 9.344 Å
α = 90.00°, β = 90.00°, γ = 120.00°
Positions (direct):
Na1 0.000 0.000 0.000
Na2 0.000 0.000 0.500
Nd1 0.333 0.667 0.250
Nd2 0.667 0.333 0.750
Co1 0.333 0.667 0.750
Co2 0.667 0.333 0.250
F1 0.030 0.366 0.633
F2 0.030 0.665 0.867
F3 0.335 0.366 0.867
F4 0.335 0.970 0.633
F5 0.366 0.030 0.133
F6 0.366 0.335 0.367
F7 0.634 0.665 0.633
F8 0.634 0.970 0.867
F9 0.665 0.030 0.367
F10 0.665 0.634 0.133
F11 0.970 0.335 0.133
F12 0.970 0.634 0.367

## Properties
Size of the total moment (μB/f.u.): 3.00
Electronic total energy (eV/atom): -5.560